Record 1
The following is a GGA-PBE calculation of a geometry-optimized Cs2In2Sb2S structure, from Alexandria via LeMat-Bulk.

## Properties
size of the total moment: 0.0 μB per formula unit
D(E_F): 1.78 states/eV per cell
DFT total energy: -3.21 eV per atom
uncorrected formation energy: -0.417 eV/atom

abc: 14.9458 4.5496 9.1818
angles: 90.00 116.07 90.00
Closest atoms and distances in Å follow each position.
Space group C2/m (No. 12)
Unique sites:
Cs (0.0166, 0.0000, 0.2355) [4 per cell]  2 S 3.42
In (0.1944, 0.5000, 0.6629) [4 per cell]  1 S 2.62
Sb (0.2188, 0.5000, 0.0777) [4 per cell]  2 Sb 3.04, 2 In 3.13
S (0.0000, 0.5000, 0.5000) [2 per cell]  2 In 2.62

Record 2
The following is a GGA-PBE calculation of a geometry-optimized Dy5Ho2Sb5 structure, from Alexandria via LeMat-Bulk.

## Properties
size of the total moment: 0.0 μB per formula unit
D(E_F): 15.96 states/eV per cell
DFT total energy: -5.24 eV per atom
uncorrected formation energy: -0.840 eV/atom

abc: 14.1963 4.3414 12.5283
angles: 90.00 109.87 90.00
Closest atoms and distances in Å follow each position.
Space group C2/m (No. 12)
Unique sites:
Dy (0.0000, 0.0000, 0.0000) [2 per cell]  4 Sb 3.04
Dy (0.1601, 0.0000, 0.5353) [4 per cell]  5 Sb 3.06-3.28
Dy (0.2211, 0.0000, 0.8432) [4 per cell]  5 Sb 2.96-3.20
Ho (0.0458, 0.5000, 0.2863) [4 per cell]  4 Sb 2.93-3.03
Sb (0.0000, 0.5000, 0.5000) [2 per cell]  2 Ho 2.96, 4 Dy 3.06
Sb (0.1185, 0.5000, 0.9319) [4 per cell]  1 Ho 2.93, 5 Dy 2.96-3.04
Sb (0.1963, 0.0000, 0.2902) [4 per cell]  2 Ho 3.03, 5 Dy 3.20-3.28

Record 3
The following is a GGA-PBE calculation of a geometry-optimized BeZnRe2 structure, from Alexandria via LeMat-Bulk.

## Properties
size of the total moment: 0.0 μB per formula unit
D(E_F): 4.91 states/eV per cell
DFT total energy: -7.22 eV per atom
energy of formation: 0.254 eV/atom

abc: 8.9226 2.7485 4.6277
angles: 90.00 105.66 90.00
Closest atoms and distances in Å follow each position.
Space group C2/m (No. 12)
Unique sites:
Be (0.0000, 0.0000, 0.0000) [2 per cell]  4 Re 2.52, 4 Zn 2.69, 2 Be 2.75
Zn (0.0000, 0.5000, 0.5000) [2 per cell]  4 Be 2.69, 6 Re 2.70-2.71, 2 Zn 2.75
Re (0.2382, 0.5000, 0.2396) [4 per cell]  2 Be 2.52, 6 Re 2.67-2.75, 3 Zn 2.70-2.71

Record 4
The following is a GGA-PBE calculation of a geometry-optimized TiCuAs2Se structure, from Alexandria via LeMat-Bulk.

## Properties
size of the total moment: 0.0 μB per formula unit
D(E_F): 5.90 states/eV per cell
DFT total energy: -4.44 eV per atom
uncorrected formation energy: 0.518 eV/atom
polymorph energy (0 for the lowest one): 206.5 meV/atom

abc: 4.6177 4.6177 4.8169
angles: 90.00 90.00 90.00
Closest atoms and distances in Å follow each position.
Space group P4/mmm (No. 123)
Unique sites:
Ti (0.0000, 0.0000, 0.0000) [1 per cell]  4 Se 3.27, 8 As 3.34
Cu (0.5000, 0.5000, 0.5000) [1 per cell]  4 As 2.31, 2 Se 2.41
As (0.0000, 0.5000, 0.5000) [2 per cell]  2 Cu 2.31
Se (0.5000, 0.5000, 0.0000) [1 per cell]  2 Cu 2.41

Record 5
The following is a GGA-PBE calculation of a geometry-optimized Hf3InFe structure, from Alexandria via LeMat-Bulk.

## Properties
size of the total moment: 0.0 μB per formula unit
D(E_F): 9.37 states/eV per cell
DFT total energy: -8.09 eV per atom
polymorph energy (0 for the lowest one): 242.5 meV/atom
energy of formation: 0.123 eV/atom

abc: 4.7855 4.7855 4.7855
angles: 90.00 90.00 90.00
Closest atoms and distances in Å follow each position.
Space group Pm-3m (No. 221)
Unique sites:
Hf (0.0000, 0.0000, 0.5000) [3 per cell]  2 Fe 2.39
In (0.5000, 0.5000, 0.5000) [1 per cell]  12 Hf 3.38
Fe (0.0000, 0.0000, 0.0000) [1 per cell]  6 Hf 2.39

Record 6
The following is a GGA-PBE calculation of a geometry-optimized CePmSe2O structure, from Alexandria via LeMat-Bulk.

## Properties
size of the total moment: 0.7 μB per formula unit
D(E_F): 13.77 states/eV per cell
DFT total energy: -6.93 eV per atom
uncorrected formation energy: -2.410 eV/atom

abc: 4.0685 4.0685 14.6272
angles: 90.00 90.00 90.00
Closest atoms and distances in Å follow each position.
Space group P4/nmm (No. 129, origin choice 2)
Unique sites:
Ce (0.2500, 0.2500, 0.0824) [2 per cell]  4 O 2.36
Pm (0.2500, 0.2500, 0.6226) [2 per cell]  5 Se 2.81-2.91
Se (0.2500, 0.2500, 0.4075) [2 per cell]  5 Pm 2.91-3.15
Se (0.2500, 0.2500, 0.8145) [2 per cell]  1 Pm 2.81
O (0.2500, 0.7500, 0.0000) [2 per cell]  4 Ce 2.36

Record 7
The following is a GGA-PBE calculation of a geometry-optimized HfZn3Pd structure, from Alexandria via LeMat-Bulk.

## Properties
size of the total moment: 0.0 μB per formula unit
D(E_F): 5.74 states/eV per cell
DFT total energy: -2.61 eV per atom
polymorph energy (0 for the lowest one): 1426.4 meV/atom
energy of formation: 1.179 eV/atom

abc: 5.1147 5.1147 5.1147
angles: 90.00 90.00 90.00
Closest atoms and distances in Å follow each position.
Space group Pm-3m (No. 221)
Unique sites:
Hf (0.0000, 0.0000, 0.0000) [1 per cell]  6 Zn 2.56
Zn (0.0000, 0.0000, 0.5000) [3 per cell]  2 Hf 2.56
Pd (0.5000, 0.5000, 0.5000) [1 per cell]  12 Zn 3.62

Record 8
The following is a GGA-PBE calculation of a geometry-optimized Sc9Tl3N2 structure, from Alexandria via LeMat-Bulk.

## Properties
size of the total moment: 0.0 μB per formula unit
D(E_F): 12.89 states/eV per cell
DFT total energy: -6.57 eV per atom
uncorrected formation energy: -0.801 eV/atom

abc: 6.3672 6.3672 7.8081
angles: 90.00 90.00 120.00
Closest atoms and distances in Å follow each position.
Space group P-3m1 (No. 164)
Unique sites:
Sc (0.0000, 0.5000, 0.0000) [3 per cell]  2 N 2.24
Sc (0.1705, 0.3410, 0.6719) [6 per cell]  1 N 2.21
Tl (0.0000, 0.0000, 0.0000) [1 per cell]  12 Sc 3.18
Tl (0.3333, 0.6667, 0.3347) [2 per cell]  12 Sc 3.18-3.20
N (0.3333, 0.6667, 0.8359) [2 per cell]  6 Sc 2.21-2.24